The following is a DFT calculation (PBE) of a geometry-optimized AcCuSbS structure.

abc: 4.792 4.792 8.874
angles: 90.00 90.00 90.00
Positions (direct):
Ac  0.250  0.250  0.184
Ac  0.750  0.750  0.816
Cu  0.250  0.750  0.500
Cu  0.750  0.250  0.500
Sb  0.250  0.250  0.638
Sb  0.750  0.750  0.362
S  0.250  0.750  0.000
S  0.750  0.250  0.000

Uncorrected formation energy, eV/atom: -0.998
Fermi-level density of states, states/eV per cell: 4.5